Record 1
Computed, not measured: crystalline FeHgPbF6 at its relaxed geometry at the PBE with a Hubbard U level of DFT.

```
18
Lattice="6.065 0.000 0.000 -3.032 5.252 0.000 0.000 0.000 9.740" Properties=species:S:1:pos:R:3 pbc="T T T"
Hg 3.032 1.751 7.305
Hg 0.000 3.501 2.435
Fe 0.000 3.501 7.305
Fe 3.032 1.751 2.435
F 1.416 1.616 3.564
F 3.724 3.218 3.564
F 0.925 4.834 8.434
F 2.341 3.218 1.306
F -1.616 3.636 8.434
F 3.957 0.418 3.564
F 0.691 2.034 8.434
F 1.616 3.636 6.176
F 2.107 0.418 1.306
F -0.691 2.034 6.176
F -0.925 4.834 6.176
F 4.649 1.616 1.306
Pb 0.000 0.000 0.000
Pb 0.000 0.000 4.870
```

- Electronic total energy: -0.1602 Ha/atom
- Density of states at the Fermi level: 1.77 states/eV/f.u.
- Size of the total moment: 7.978 Bohr magnetons per cell

Record 2
Computed, not measured: crystalline FeHgPdF6 at its relaxed geometry at the PBE with a Hubbard U level of DFT.

```
18
Lattice="5.804 0.000 0.000 -2.902 5.026 0.000 0.000 0.000 9.242" Properties=species:S:1:pos:R:3 pbc="T T T"
F 1.250 1.648 3.402
F 3.752 0.259 3.402
F -0.802 1.906 5.840
F 3.704 3.120 3.402
F -1.652 3.379 8.023
F 0.802 1.906 8.023
F 2.052 0.259 1.219
F 2.100 3.120 1.219
F 0.850 4.768 8.023
F 4.554 1.648 1.219
F 1.652 3.379 5.840
F -0.850 4.768 5.840
Pd 0.000 0.000 4.621
Pd 0.000 0.000 0.000
Fe 0.000 3.351 6.932
Fe 2.902 1.675 2.311
Hg 2.902 1.675 6.932
Hg 0.000 3.351 2.311
```

- Electronic total energy: -0.1503 Ha/atom
- Density of states at the Fermi level: 5.46 states/eV/f.u.
- Size of the total moment: 12.120 Bohr magnetons per cell

Record 3
Computed, not measured: crystalline RbFeHgF6 at its relaxed geometry at the PBE with a Hubbard U level of DFT.

```
9
Lattice="5.808 -0.002 0.003 2.903 5.021 0.004 0.003 0.000 5.764" Properties=species:S:1:pos:R:3 pbc="T T T"
F 1.326 1.729 1.809
F 4.483 1.727 3.960
F 3.744 3.018 1.817
F 2.157 0.276 3.952
F 3.653 0.279 1.814
F 2.063 3.014 3.957
Hg 5.809 3.344 2.887
Fe 2.904 1.674 2.885
Rb 2.905 5.021 5.768
```

- Electronic total energy: -0.1474 Ha/atom
- Density of states at the Fermi level: 0.00 states/eV/f.u.
- Size of the total moment: 1.001 Bohr magnetons per cell

Record 4
Computed, not measured: crystalline Fe2HgSF at its relaxed geometry at the PBE with a Hubbard U level of DFT.

```
5
Lattice="-2.324 4.030 -2.527 -3.921 -2.733 -0.752 -2.054 1.687 4.578" Properties=species:S:1:pos:R:3 pbc="T T T"
Fe -1.162 2.015 -1.264
Fe -1.027 0.844 2.289
Hg 0.000 0.000 0.000
S -1.960 -1.366 -0.376
F -4.149 1.492 0.649
```

- Electronic total energy: -0.1048 Ha/atom
- Density of states at the Fermi level: 3.10 states/eV/f.u.
- Size of the total moment: 7.983 Bohr magnetons per cell

Record 5
Computed, not measured: crystalline FeHg2SeF at its relaxed geometry at the PBE with a Hubbard U level of DFT.

```
5
Lattice="5.330 0.000 0.000 0.000 4.633 0.000 0.000 0.000 5.330" Properties=species:S:1:pos:R:3 pbc="T T T"
Fe 0.000 0.000 0.000
Se 0.000 2.317 0.000
F 2.665 2.317 2.665
Hg 2.665 0.000 0.000
Hg 0.000 0.000 2.665
```

- Electronic total energy: -0.0858 Ha/atom
- Density of states at the Fermi level: 2.91 states/eV/f.u.
- Size of the total moment: 3.550 Bohr magnetons per cell

Record 6
Computed, not measured: crystalline FeHgSe2F at its relaxed geometry at the PBE with a Hubbard U level of DFT.

```
5
Lattice="4.702 0.000 0.000 0.000 5.401 0.000 0.000 0.000 4.702" Properties=species:S:1:pos:R:3 pbc="T T T"
Hg 0.000 2.701 0.000
Se 0.000 0.000 2.351
Se 2.351 0.000 0.000
F 2.351 2.701 2.351
Fe 0.000 0.000 0.000
```

- Electronic total energy: -0.1037 Ha/atom
- Density of states at the Fermi level: 3.31 states/eV/f.u.
- Size of the total moment: 3.213 Bohr magnetons per cell

Record 7
Computed, not measured: crystalline Fe2SiHgF at its relaxed geometry at the PBE with a Hubbard U level of DFT.

```
5
Lattice="-0.783 -4.630 -0.839 0.448 -0.960 4.880 -4.686 0.690 0.566" Properties=species:S:1:pos:R:3 pbc="T T T"
Fe -2.343 0.345 0.283
Fe -0.392 -2.315 -0.420
Si 0.000 0.000 0.000
Hg 0.224 -0.480 2.440
F -2.511 -2.450 2.303
```

- Electronic total energy: -0.1275 Ha/atom
- Density of states at the Fermi level: 1.00 states/eV/f.u.
- Size of the total moment: 7.251 Bohr magnetons per cell

Record 8
Computed, not measured: crystalline FeTcHgF2 at its relaxed geometry at the PBE with a Hubbard U level of DFT.

```
5
Lattice="-2.429 -3.564 -0.758 4.515 -2.565 -2.409 1.160 -1.620 3.900" Properties=species:S:1:pos:R:3 pbc="T T T"
F 0.580 -0.810 1.950
F -1.215 -1.782 -0.379
Tc 2.257 -1.283 -1.204
Hg 0.000 0.000 0.000
Fe 1.623 -3.874 0.367
```

- Electronic total energy: -0.1306 Ha/atom
- Density of states at the Fermi level: 3.02 states/eV/f.u.
- Size of the total moment: 7.400 Bohr magnetons per cell

Record 9
Computed, not measured: crystalline Tl2FeHgF6 at its relaxed geometry at the PBE with a Hubbard U level of DFT.

```
20
Lattice="6.257 0.000 0.000 0.000 6.286 0.000 0.000 0.000 8.806" Properties=species:S:1:pos:R:3 pbc="T T T"
F 4.637 3.025 4.403
F 0.000 4.811 2.028
F 3.129 1.475 6.431
F 3.129 1.475 2.375
F 1.509 3.261 0.000
F 4.749 3.261 0.000
F 1.620 0.025 4.403
F 1.508 6.261 0.000
F 4.637 0.025 4.403
F 1.620 3.025 4.403
F 0.000 4.811 6.779
F 4.749 6.261 0.000
Fe 0.000 4.749 0.000
Fe 3.129 1.537 4.403
Hg 0.000 4.655 4.403
Hg 3.129 1.631 0.000
Tl 0.000 1.505 2.217
Tl 3.129 4.781 2.186
Tl 0.000 1.505 6.590
Tl 3.129 4.781 6.620
```

- Electronic total energy: -0.1498 Ha/atom
- Size of the total moment: 8.000 Bohr magnetons per cell

Record 10
Computed, not measured: crystalline TlFeHgF6 at its relaxed geometry at the PBE with a Hubbard U level of DFT.

```
18
Lattice="5.934 0.000 0.000 -2.967 5.139 0.000 0.000 0.000 10.838" Properties=species:S:1:pos:R:3 pbc="T T T"
Tl 0.000 0.000 0.000
Tl 0.000 0.000 5.419
F 3.885 3.063 9.232
F -1.628 3.306 3.813
F 4.595 1.833 7.026
F 0.918 2.076 3.813
F 2.049 3.063 7.026
F 3.677 0.243 9.232
F 2.257 0.243 7.026
F 0.710 4.896 3.813
F 1.628 3.306 1.607
F -0.710 4.896 1.607
F 1.339 1.833 9.232
F -0.918 2.076 1.607
Hg 2.967 1.713 2.710
Hg 0.000 3.426 8.129
Fe 2.967 1.713 8.129
Fe 0.000 3.426 2.710
```

- Electronic total energy: -0.1533 Ha/atom
- Density of states at the Fermi level: 0.00 states/eV/f.u.
- Size of the total moment: 9.956 Bohr magnetons per cell

Record 11
Computed, not measured: crystalline Y2FeHgF at its relaxed geometry at the PBE with a Hubbard U level of DFT.

```
5
Lattice="-0.531 4.465 -3.541 -3.175 -2.579 -2.776 -4.355 1.976 3.145" Properties=species:S:1:pos:R:3 pbc="T T T"
Y -0.266 2.233 -1.770
Y -2.177 0.988 1.572
F -4.030 1.931 -1.586
Fe -1.587 -1.289 -1.388
Hg 0.000 0.000 0.000
```

- Electronic total energy: -0.1457 Ha/atom
- Density of states at the Fermi level: 10.28 states/eV/f.u.
- Size of the total moment: 3.047 Bohr magnetons per cell

Record 12
Computed, not measured: crystalline Zn2FeHgF at its relaxed geometry at the PBE with a Hubbard U level of DFT.

```
5
Lattice="-1.902 -4.089 0.352 2.166 -1.301 -3.403 3.392 -1.347 2.673" Properties=species:S:1:pos:R:3 pbc="T T T"
Fe 1.083 -0.650 -1.701
Zn -0.951 -2.045 0.176
Zn 1.696 -0.674 1.337
Hg 1.827 -3.369 -0.189
F 0.000 0.000 0.000
```

- Electronic total energy: -0.0769 Ha/atom
- Density of states at the Fermi level: 1.70 states/eV/f.u.
- Size of the total moment: 3.091 Bohr magnetons per cell

| no. | density (g cm⁻³) |
| --- | --- |
| 1 | 6.2 |
| 2 | 5.9 |
| 3 | 4.5 |
| 4 | 4.5 |
| 5 | 7.0 |
| 6 | 6.0 |
| 7 | 5.3 |
| 8 | 5.9 |
| 9 | 7.5 |
| 10 | 5.8 |
| 11 | 4.6 |
| 12 | 7.8 |